# 1
{"formula": "LuMgAuSeS2", "functional": "PBE", "state": "relaxed", "lattice": [[1.964, -6.722, 0.000], [1.964, 6.722, 0.000], [0.000, 0.000, 10.506]], "species": ["Lu", "Lu", "Mg", "Mg", "Au", "Au", "Se", "Se", "S", "S", "S", "S"], "fractional_positions": [[0.000, 0.000, 0.000], [0.000, 0.000, 0.500], [0.300, 0.700, 0.750], [0.700, 0.300, 0.250], [0.355, 0.645, 0.250], [0.645, 0.355, 0.750], [0.074, 0.926, 0.250], [0.926, 0.074, 0.750], [0.364, 0.636, 0.029], [0.364, 0.636, 0.471], [0.636, 0.364, 0.529], [0.636, 0.364, 0.971]], "sg": "Cmcm", "m_tot_mub_per_cell": 0.03, "dft_energy_ry_per_atom": -0.3424}



# 2
{"formula": "LuMgAuSe3", "functional": "PBE", "state": "relaxed", "lattice": [[1.908, -6.558, 0.000], [1.908, 6.558, 0.000], [0.000, 0.000, 10.621]], "species": ["Lu", "Lu", "Mg", "Mg", "Au", "Au", "Se", "Se", "Se", "Se", "Se", "Se"], "fractional_positions": [[0.000, 0.000, 0.000], [0.000, 0.000, 0.500], [0.222, 0.778, 0.750], [0.778, 0.222, 0.250], [0.473, 0.527, 0.250], [0.527, 0.473, 0.750], [0.118, 0.882, 0.250], [0.350, 0.650, 0.061], [0.350, 0.650, 0.439], [0.650, 0.350, 0.561], [0.650, 0.350, 0.939], [0.882, 0.118, 0.750]], "sg": "Cmcm", "m_tot_mub_per_cell": 0.02, "dft_energy_ry_per_atom": -0.3168}